Entry 1:
A geometry-optimized ZrScNb2 structure. Source: the Open Quantum Materials Database, functional PBE-GGA.

- crystal system = cubic

```
ZrScNb2
1.0
6.860 0.000 0.000
0.000 6.860 0.000
0.000 0.000 6.860
Zr Sc Nb
4 4 8
direct
0.000 0.000 0.000 Zr
0.000 0.500 0.500 Zr
0.500 0.000 0.500 Zr
0.500 0.500 0.000 Zr
0.250 0.250 0.750 Sc
0.250 0.750 0.250 Sc
0.750 0.250 0.250 Sc
0.750 0.750 0.750 Sc
0.000 0.000 0.500 Nb
0.000 0.500 0.000 Nb
0.250 0.250 0.250 Nb
0.250 0.750 0.750 Nb
0.500 0.000 0.000 Nb
0.500 0.500 0.500 Nb
0.750 0.250 0.750 Nb
0.750 0.750 0.250 Nb
```



Entry 2:
A geometry-optimized TbHo2Mg3In3 structure. Source: the Open Quantum Materials Database, functional PBE-GGA.

- crystal system = orthorhombic

```
TbHo2Mg3In3
1.0
4.669 0.000 0.000
0.000 6.507 3.742
0.000 -6.507 3.742
Tb Ho Mg In
1 2 3 3
direct
0.000 0.000 0.000 Tb
0.000 0.130 0.565 Ho
0.000 0.565 0.130 Ho
0.500 0.323 0.323 Mg
0.500 0.564 0.806 Mg
0.500 0.806 0.564 Mg
0.000 0.563 0.563 In
0.500 0.232 0.897 In
0.500 0.897 0.232 In
```



Entry 3:
A geometry-optimized Zr2Pb3Au2 structure. Source: the Open Quantum Materials Database, functional PBE-GGA.

- crystal system = trigonal

```
Zr2Pb3Au2
1.0
2.422 1.398 8.516
-2.422 1.398 8.516
0.000 -2.796 8.516
Zr Pb Au
2 3 2
direct
0.000 0.000 0.000 Zr
0.497 0.497 0.497 Zr
0.384 0.384 0.384 Pb
0.625 0.625 0.625 Pb
0.867 0.867 0.867 Pb
0.232 0.232 0.232 Au
0.753 0.753 0.753 Au
```



Entry 4:
A geometry-optimized HfCdCuSn structure. Source: the Open Quantum Materials Database, functional PBE-GGA.

- crystal system = cubic

```
HfCdCuSn
1.0
6.811 0.000 0.000
0.000 6.811 0.000
0.000 0.000 6.811
Hf Cd Cu Sn
4 4 4 4
direct
0.000 0.000 0.000 Hf
0.000 0.500 0.500 Hf
0.500 0.000 0.500 Hf
0.500 0.500 0.000 Hf
0.250 0.250 0.750 Cd
0.250 0.750 0.250 Cd
0.750 0.250 0.250 Cd
0.750 0.750 0.750 Cd
0.000 0.000 0.500 Cu
0.000 0.500 0.000 Cu
0.500 0.000 0.000 Cu
0.500 0.500 0.500 Cu
0.250 0.250 0.250 Sn
0.250 0.750 0.750 Sn
0.750 0.250 0.750 Sn
0.750 0.750 0.250 Sn
```



The following energy values (in hartree per atom) correspond, in order, to the records above: -0.3172, -0.1231, -0.1748, -0.1641.
The following magnetic moment values (in Bohr magnetons per cell) correspond, in order, to the records above: 0.04, 0.00, 0.02, 0.71.